{
  "formula": "BaNdInSn",
  "functional": "PBE",
  "state": "relaxed",
  "cell": [[5.7341, 0.0000, 0.0000], [2.8670, 4.9658, 0.0000], [2.8670, 1.6553, 4.6818]],
  "species": ["In", "Nd", "Ba", "Sn"],
  "fractional_positions": [[0.7500, 0.7500, 0.7500], [0.5000, 0.5000, 0.5000], [0.0000, 0.0000, 0.0000], [0.2500, 0.2500, 0.2500]],
  "sg": "F-43m",
  "crystal_system": "cubic",
  "formation_enthalpy_0k_mev_per_atom": -426,
  "final_energy_ev_per_atom": -3.784
}